(1)
Density functional theory data (PBE) for NdSm3DyY after structural relaxation.

Output
calculated total energy = -0.3590 Ry/atom
crystal system = orthorhombic
E_form = 0.114 eV per atom

Cell and atoms, written as extended XYZ:
```
12
Lattice="5.8396 0.0000 0.0000 -2.9198 5.8353 0.0000 0.0000 0.0000 11.8020" Properties=species:S:1:pos:R:3 pbc="T T T"
Nd 2.9198 0.3108 8.8515
Nd 0.0000 5.5245 2.9505
Sm 2.9198 2.0243 5.5122
Sm 0.0000 3.8110 6.2898
Sm 0.0000 3.8110 11.4132
Sm 2.9198 2.0243 0.3888
Sm 0.0000 1.5381 8.8515
Sm 2.9198 4.2972 2.9505
Dy 0.0000 0.0000 5.9010
Dy 0.0000 0.0000 0.0000
Y 2.9198 3.8237 8.8515
Y 0.0000 2.0116 2.9505
```



(2)
Density functional theory data (PBE) for Nd3Sm2Dy6Y after structural relaxation.

Output
calculated total energy = -0.3531 Ry/atom
crystal system = monoclinic
E_form = 0.015 eV per atom

Cell and atoms, written as extended XYZ:
```
12
Lattice="6.2336 0.0000 0.0062 -3.1153 5.3993 0.0062 -1.0472 -1.8132 11.6887" Properties=species:S:1:pos:R:3 pbc="T T T"
Nd -2.0809 3.5929 5.8505
Nd 4.1520 -0.0068 5.8505
Nd 1.0355 1.7930 5.8505
Sm 0.0023 3.5988 0.0062
Sm 3.1160 1.8005 0.0062
Dy 3.1112 1.7859 8.7958
Dy 2.0775 3.5972 2.9137
Dy -1.0401 1.8002 2.9053
Dy -0.0080 3.5873 8.7958
Dy -0.0064 -0.0111 8.7874
Dy 2.0791 -0.0013 2.9053
Y 0.0000 0.0000 0.0000
```



(3)
Density functional theory data (PBE) for Nd2SmDy5Y after structural relaxation.

Output
calculated total energy = -0.3376 Ry/atom
crystal system = tetragonal
E_form = 0.266 eV per atom

Cell and atoms, written as extended XYZ:
```
18
Lattice="8.7003 0.0000 0.0000 0.0000 8.7003 0.0000 -4.3501 -4.3501 7.8371" Properties=species:S:1:pos:R:3 pbc="T T T"
Nd 1.0224 3.3277 0.0000
Nd 5.3725 1.0224 0.0000
Nd 3.3277 7.6779 0.0000
Nd 7.6779 5.3725 0.0000
Sm 0.0000 0.0000 3.9186
Sm 4.3501 4.3501 3.9186
Dy 6.8569 2.5067 2.1776
Dy 2.5067 -1.8434 5.6595
Dy -2.5067 1.8434 5.6595
Dy -1.8434 -2.5067 5.6595
Dy 1.8434 2.5067 5.6595
Dy 6.1936 6.8569 2.1776
Dy 2.5067 1.8434 2.1776
Dy 1.8434 6.1936 2.1776
Dy 4.3501 4.3501 0.0000
Dy 0.0000 0.0000 0.0000
Y 0.0000 4.3501 3.9186
Y 4.3501 0.0000 3.9186
```



(4)
Density functional theory data (PBE) for Nd3Sm6Dy2Y after structural relaxation.

Output
calculated total energy = -0.3559 Ry/atom
crystal system = monoclinic
E_form = 0.015 eV per atom

Cell and atoms, written as extended XYZ:
```
12
Lattice="6.2819 -0.0003 0.0076 -3.1397 5.4410 0.0076 -1.0601 -1.8355 11.8209" Properties=species:S:1:pos:R:3 pbc="T T T"
Nd -2.0985 3.6158 5.9181
Nd 4.1806 -0.0106 5.9181
Nd 1.0411 1.8026 5.9181
Sm 3.1327 1.7894 8.9210
Sm 2.0909 3.6203 2.9243
Sm -1.0506 1.8158 2.9152
Sm -0.0157 3.6077 8.9210
Sm -0.0087 -0.0151 8.9119
Sm 2.0978 -0.0025 2.9152
Dy 0.0011 3.6270 0.0076
Dy 3.1410 1.8136 0.0076
Y 0.0000 0.0000 0.0000
```



(5)
Density functional theory data (PBE) for NdSm2Dy6Y3 after structural relaxation.

Output
calculated total energy = -0.3736 Ry/atom
crystal system = monoclinic
E_form = 0.018 eV per atom

Cell and atoms, written as extended XYZ:
```
12
Lattice="-1.4074 -6.0027 0.5947 4.0783 2.6185 3.8573 -9.5572 3.8783 5.8213" Properties=species:S:1:pos:R:3 pbc="T T T"
Nd 0.0000 0.0000 0.0000
Sm 2.2494 -0.2558 2.7695
Sm 0.4215 -3.1284 1.6824
Dy -6.0666 -1.0695 7.1441
Dy -0.4008 -1.5650 4.8092
Dy -0.8198 1.5635 3.1291
Dy -4.2366 1.8064 8.2324
Dy -6.4856 2.0590 5.4640
Dy -2.6497 -1.3124 2.0408
Y -1.6152 3.1198 6.2238
Y -5.2711 -2.6257 4.0494
Y -3.4432 0.2470 5.1366
```



(6)
Density functional theory data (PBE) for Nd4SmDy2Y2 after structural relaxation.

Output
calculated total energy = -0.3738 Ry/atom
crystal system = monoclinic
E_form = 0.016 eV per atom

Cell and atoms, written as extended XYZ:
```
9
Lattice="-1.5660 -1.1589 4.7294 7.7877 -2.1088 -0.7040 -0.2145 7.8697 1.8573" Properties=species:S:1:pos:R:3 pbc="T T T"
Nd 2.9626 3.1885 4.5283
Nd 3.0446 1.4136 1.3545
Nd -0.0875 1.7296 3.1608
Nd 6.0947 2.8725 2.7219
Sm 0.0000 0.0000 0.0000
Dy 4.6561 -1.7852 1.1043
Dy 1.3511 6.3873 4.7785
Y 4.5879 -0.0591 4.2706
Y 1.4193 4.6612 1.6121
```



(7)
Density functional theory data (PBE) for NdSm3Dy6Y2 after structural relaxation.

Output
calculated total energy = -0.3631 Ry/atom
crystal system = monoclinic
E_form = 0.016 eV per atom

Cell and atoms, written as extended XYZ:
```
12
Lattice="6.2016 0.0007 0.0104 -3.0987 5.3720 0.0104 -1.0490 -1.8163 11.6702" Properties=species:S:1:pos:R:3 pbc="T T T"
Nd 0.0000 0.0000 0.0000
Sm -2.0707 3.5672 5.8455
Sm 4.1247 -0.0108 5.8455
Sm 1.0270 1.7782 5.8455
Dy 3.0891 1.7703 8.7708
Dy 2.0659 3.5771 2.9299
Dy -1.0352 1.7862 2.9202
Dy -0.0105 3.5604 8.7708
Dy -0.0119 -0.0207 8.7611
Dy 2.0645 -0.0040 2.9202
Y 0.0009 3.5819 0.0104
Y 3.1020 1.7909 0.0104
```



(8)
Density functional theory data (PBE) for NdSmDy2Y after structural relaxation.

Output
calculated total energy = -0.3419 Ry/atom
crystal system = orthorhombic
E_form = 0.379 eV per atom

Cell and atoms, written as extended XYZ:
```
10
Lattice="-2.9642 -6.4421 1.2376 1.5301 0.8751 8.2200 -5.9460 2.0802 -3.4136" Properties=species:S:1:pos:R:3 pbc="T T T"
Nd -2.2668 -0.0597 4.7273
Nd -5.1133 -3.4271 1.3166
Sm -5.0150 1.2757 5.0966
Sm -2.3652 -4.7625 0.9473
Dy -1.0053 -2.9483 3.1804
Dy 1.0532 0.6024 5.6584
Dy -0.4289 -2.6187 6.2771
Dy 0.4768 0.2727 2.5616
Y -3.8471 -3.2331 5.3592
Y -3.5331 -0.2537 0.6847
```



(9)
Density functional theory data (PBE) for NdSm2DyY after structural relaxation.

Output
calculated total energy = -0.3422 Ry/atom
crystal system = orthorhombic
E_form = 0.399 eV per atom

Cell and atoms, written as extended XYZ:
```
10
Lattice="-0.3015 4.4612 -5.7145 -7.1697 -3.7210 -2.5266 0.4947 5.6795 4.4078" Properties=species:S:1:pos:R:3 pbc="T T T"
Nd -5.0412 0.9615 -1.2867
Nd -1.9353 5.4583 -2.5466
Sm -2.3711 1.0783 -3.6397
Sm -4.9493 -2.5686 -1.7442
Sm -5.1001 -0.3380 -4.6014
Sm -2.2204 -1.1523 -0.7825
Dy -5.2413 3.2532 -4.0937
Dy -1.7352 3.1666 0.2603
Y -6.6931 3.0031 0.3943
Y -0.2834 3.4167 -4.2276
```



(10)
Density functional theory data (PBE) for NdSm2DyY2 after structural relaxation.

Output
calculated total energy = -0.3684 Ry/atom
crystal system = orthorhombic
E_form = 0.277 eV per atom

Cell and atoms, written as extended XYZ:
```
12
Lattice="3.4130 0.0000 0.0000 0.0000 6.6370 0.0000 0.0000 0.0000 18.0097" Properties=species:S:1:pos:R:3 pbc="T T T"
Nd 0.0000 0.0000 0.0000
Nd 1.7065 3.3185 9.0049
Sm 1.7065 1.8092 5.7048
Sm 0.0000 5.1277 3.3001
Sm 1.7065 4.8277 12.3050
Sm 0.0000 1.5093 14.7096
Dy 1.7065 3.3185 0.0000
Dy 0.0000 0.0000 9.0049
Y 1.7065 5.1533 6.3261
Y 1.7065 1.4836 11.6837
Y 0.0000 4.8021 15.3309
Y 0.0000 1.8348 2.6788
```



(11)
Density functional theory data (PBE) for Nd2Sm6DyY3 after structural relaxation.

Output
calculated total energy = -0.3778 Ry/atom
crystal system = monoclinic
E_form = 0.014 eV per atom

Cell and atoms, written as extended XYZ:
```
12
Lattice="6.2674 -0.0003 0.0047 -3.1324 5.4284 0.0047 -1.0513 -1.8203 11.7859" Properties=species:S:1:pos:R:3 pbc="T T T"
Nd 0.0009 3.6188 0.0047
Nd 3.1340 1.8093 0.0047
Sm 3.1263 1.8061 8.8247
Sm 2.0911 3.6206 2.9782
Sm -1.0427 1.8016 2.9706
Sm 0.0020 3.6106 8.8247
Sm -0.0074 -0.0129 8.8172
Sm 2.0816 -0.0028 2.9706
Dy 0.0000 0.0000 0.0000
Y -2.0940 3.6150 5.8977
Y 4.1777 -0.0072 5.8977
Y 1.0418 1.8039 5.8977
```



(12)
Density functional theory data (PBE) for Nd2Sm2Dy2Y after structural relaxation.

Output
calculated total energy = -0.3625 Ry/atom
crystal system = monoclinic
E_form = 0.017 eV per atom

Cell and atoms, written as extended XYZ:
```
7
Lattice="5.1098 0.0000 0.0000 -2.5549 5.7072 0.2979 0.0000 -1.5638 7.9211" Properties=species:S:1:pos:R:3 pbc="T T T"
Nd 0.0000 0.9659 3.4776
Nd 2.5549 3.1775 4.7414
Sm 2.5549 -0.3070 5.7250
Sm 0.0000 4.4504 2.4940
Dy 2.5549 2.2312 1.2409
Dy 0.0000 1.9122 6.9781
Y 0.0000 0.0000 0.0000
```